Here is a geometry-optimized LiP3 structure from Alexandria via LeMat-Bulk. Energies are from PBE.

abc: 3.934 3.934 3.731
angles: 90.00 90.00 90.00
Fractional coordinates of all 4 atoms:
Li 0.000 0.000 0.000
P 0.500 0.500 0.000
P 0.000 0.500 0.500
P 0.500 0.000 0.500

## Properties
- Spin magnetization: 0.000 μB/f.u.
- Space group: P4/mmm
- Energy of formation from the pure elements: 231 meV/atom
- Density of states at the Fermi level: 0.3158 states/eV per atom
- Polymorph energy (0 for the lowest one): 257.6 meV/atom